Record 1
## Th6As2Os3Cl (PBE-GGA)

Data for Th6As2Os3Cl after structural relaxation.

Lattice parameters (Å, degrees): 18.703 4.138 8.693 90.00 107.12 90.00
Space group C2/m (No. 12)
Unique sites:
Th: 0.006 0.000 0.224 [4 per cell]
Th: 0.161 0.500 0.096 [4 per cell]
Th: 0.177 0.500 0.570 [4 per cell]
As: 0.164 0.000 0.827 [4 per cell]
Os: 0.000 0.500 0.000 [2 per cell]
Os: 0.164 0.000 0.333 [4 per cell]
Cl: 0.000 0.500 0.500 [2 per cell]

Properties
Formation energy without anion corrections (eV per atom): -0.8231
E_tot (hartree per atom): -0.304
Fermi-level density of states (states/eV/f.u.): 5.43

Record 2
## Te2MoIrN (PBE-GGA)

Data for Te2MoIrN after structural relaxation.

Lattice parameters (Å, degrees): 5.460 5.460 3.654 90.00 90.00 90.00
Space group P4/mmm (No. 123)
Unique sites:
Te: 0.000 0.500 0.000 [2 per cell]
Mo: 0.000 0.000 0.500 [1 per cell]
Ir: 0.500 0.500 0.000 [1 per cell]
N: 0.500 0.500 0.500 [1 per cell]

Properties
Polymorph energy (0 for the lowest one) (kJ per mole of atoms): 0.0
Formation energy without anion corrections (eV per atom): 0.7448
E_tot (hartree per atom): -0.225
Fermi-level density of states (states/eV/f.u.): 2.13

Record 3
## ScAlSb2Te (PBE-GGA)

Data for ScAlSb2Te after structural relaxation.

Lattice parameters (Å, degrees): 5.493 5.493 5.547 90.00 90.00 90.00
Space group P4/mmm (No. 123)
Unique sites:
Sc: 0.000 0.000 0.000 [1 per cell]
Al: 0.500 0.500 0.500 [1 per cell]
Sb: 0.000 0.500 0.000 [2 per cell]
Te: 0.000 0.000 0.500 [1 per cell]

Properties
Polymorph energy (0 for the lowest one) (kJ per mole of atoms): 0.0
Formation energy without anion corrections (eV per atom): 0.2100
E_tot (hartree per atom): -0.150
Fermi-level density of states (states/eV/f.u.): 4.84

Record 4
## TlNiMo (PBE-GGA)

Data for TlNiMo after structural relaxation.

Lattice parameters (Å, degrees): 6.001 6.001 6.001 90.00 90.00 90.00
Space group F-43m (No. 216)
Unique sites:
Tl: 0.000 0.000 0.000 [4 per cell]
Ni: 0.250 0.250 0.750 [4 per cell]
Mo: 0.000 0.000 0.500 [4 per cell]

Properties
Polymorph energy (0 for the lowest one) (kJ per mole of atoms): 20.4
ΔE_f (eV per formula unit): 1.89
E_tot (hartree per atom): -0.209
Fermi-level density of states (states/eV/f.u.): 5.60

Record 5
## Hf6BeHg2 (PBE-GGA)

Data for Hf6BeHg2 after structural relaxation.

Lattice parameters (Å, degrees): 7.8770 7.8770 3.4462 90.00 90.00 120.00
Space group P-62m (No. 189)
Unique sites:
Hf: 0.0000 0.2397 0.0000 [3 per cell]
Hf: 0.0000 0.6121 0.5000 [3 per cell]
Be: 0.0000 0.0000 0.5000 [1 per cell]
Hg: 0.3333 0.6667 0.0000 [2 per cell]

Properties
ΔE_f (eV per formula unit): -0.21
E_tot (hartree per atom): -0.262
Fermi-level density of states (states/eV/f.u.): 14.00

Record 6
## Li2ScGaRe (PBE-GGA)

Data for Li2ScGaRe after structural relaxation.

Lattice parameters (Å, degrees): 4.324 4.324 4.837 90.00 90.00 90.00
Space group P4/mmm (No. 123)
Unique sites:
Li: 0.000 0.500 0.000 [2 per cell]
Sc: 0.000 0.000 0.500 [1 per cell]
Ga: 0.500 0.500 0.000 [1 per cell]
Re: 0.500 0.500 0.500 [1 per cell]

Properties
ΔE_f (eV per formula unit): 2.11
E_tot (hartree per atom): -0.173
Fermi-level density of states (states/eV/f.u.): 3.52

Record 7
## Zn6PdAu3 (PBE-GGA)

Data for Zn6PdAu3 after structural relaxation.

Lattice parameters (Å, degrees): 7.009 6.672 10.003 90.00 133.28 90.00
Space group P2_1/c (No. 14)
Unique sites:
Zn: 0.023 0.106 0.251 [4 per cell]
Zn: 0.228 0.163 0.071 [4 per cell]
Zn: 0.398 0.640 0.059 [4 per cell]
Pd: 0.000 0.000 0.500 [2 per cell]
Au: 0.289 0.668 0.741 [4 per cell]
Au: 0.500 0.000 0.000 [2 per cell]

Properties
Polymorph energy (0 for the lowest one) (kJ per mole of atoms): 8.9
ΔE_f (eV per formula unit): -1.52
E_tot (hartree per atom): -0.089
Fermi-level density of states (states/eV/f.u.): 3.32

Record 8
## SBrO2 (PBE-GGA)

Data for SBrO2 after structural relaxation.

Lattice parameters (Å, degrees): 3.4139 3.4139 17.3975 90.00 90.00 120.00
Space group R-3m (No. 166, hexagonal axes)
Unique sites:
S: 0.0000 0.0000 0.0000 [3 per cell]
Br: 0.0000 0.0000 0.5000 [3 per cell]
O: 0.0000 0.0000 0.3819 [6 per cell]

Properties
Polymorph energy (0 for the lowest one) (kJ per mole of atoms): 103.5
Formation energy without anion corrections (eV per atom): 0.4448
E_tot (hartree per atom): -0.128
Fermi-level density of states (states/eV/f.u.): 1.51

Record 9
## Ba4Re3 (PBE-GGA)

Data for Ba4Re3 after structural relaxation.

Lattice parameters (Å, degrees): 5.5282 5.5282 7.0919 90.00 90.00 120.00
Space group P6/mmm (No. 191)
Unique sites:
Ba: 0.0000 0.0000 0.2501 [2 per cell]
Ba: 0.3333 0.6667 0.0000 [2 per cell]
Re: 0.0000 0.5000 0.5000 [3 per cell]

Properties
ΔE_f (eV per formula unit): 6.81
E_tot (hartree per atom): -0.201
Fermi-level density of states (states/eV/f.u.): 8.21

Record 10
## Sm2RuBr (PBE-GGA)

Data for Sm2RuBr after structural relaxation.

Lattice parameters (Å, degrees): 3.445 3.445 8.249 90.00 90.00 90.00
Space group P4/mmm (No. 123)
Unique sites:
Sm: 0.000 0.000 0.209 [2 per cell]
Ru: 0.500 0.500 0.000 [1 per cell]
Br: 0.500 0.500 0.500 [1 per cell]

Properties
Polymorph energy (0 for the lowest one) (kJ per mole of atoms): 0.9
Formation energy without anion corrections (eV per atom): -0.7436
E_tot (hartree per atom): -0.215
Fermi-level density of states (states/eV/f.u.): 1.93

Record 11
## Sr6Sb2NF (PBE-GGA)

Data for Sr6Sb2NF after structural relaxation.

Lattice parameters (Å, degrees): 7.402 7.402 10.401 90.00 90.00 90.00
Space group I4/mmm (No. 139)
Unique sites:
Sr: 0.000 0.000 0.243 [4 per cell]
Sr: 0.242 0.242 0.000 [8 per cell]
Sb: 0.000 0.500 0.250 [4 per cell]
N: 0.000 0.000 0.000 [2 per cell]
F: 0.000 0.000 0.500 [2 per cell]

Properties
Formation energy without anion corrections (eV per atom): -1.1825
E_tot (hartree per atom): -0.148
Fermi-level density of states (states/eV/f.u.): 5.44

Record 12
## KZr2P (PBE-GGA)

Data for KZr2P after structural relaxation.

Lattice parameters (Å, degrees): 3.415 5.641 10.680 90.00 90.00 90.00
Space group Immm (No. 71)
Unique sites:
K: 0.000 0.000 0.000 [2 per cell]
Zr: 0.000 0.500 0.178 [4 per cell]
P: 0.000 0.000 0.500 [2 per cell]

Properties
ΔE_f (eV per formula unit): -0.22
E_tot (hartree per atom): -0.219
Fermi-level density of states (states/eV/f.u.): 5.43